(1)
LiBePt2: optimized geometry, GGA-PBE. Values from VASP.

Values from the calculation:
The total energy comes out at -19.5 eV per formula unit.

```
&SYSTEM
  ibrav = 0, nat = 4, ntyp = 3
/
ATOMIC_SPECIES
Pt 195.08 Pt.upf
Be 9.01 Be.upf
Li 6.94 Li.upf
CELL_PARAMETERS angstrom
-2.3783 1.0595 0.7075
0.6921 -0.8533 3.6043
2.2180 4.5448 0.6500
ATOMIC_POSITIONS angstrom
Pt -0.1966 1.4279 2.3454
Be 1.0636 2.1793 0.3117
Li 0.8524 3.5772 2.6528
Pt 2.1395 4.3839 0.6270
```

***

(2)
Li3BePt4: optimized geometry, GGA-PBE. Values from VASP.

Values from the calculation:
The total energy comes out at -38.3 eV per formula unit.

```
&SYSTEM
  ibrav = 0, nat = 8, ntyp = 3
/
ATOMIC_SPECIES
Pt 195.08 Pt.upf
Li 6.94 Li.upf
Be 9.01 Be.upf
CELL_PARAMETERS angstrom
-0.9605 -4.0097 -0.1256
3.2576 -0.8549 2.3822
-4.4804 3.0812 3.6328
ATOMIC_POSITIONS angstrom
Pt -0.8068 0.1571 1.1529
Li -0.0293 -0.1045 3.5595
Li 1.6288 -0.4275 1.1911
Li -2.1539 -1.6789 2.3298
Pt 0.3416 -2.2751 2.2810
Pt -2.5248 0.4917 3.6083
Pt -1.3764 -1.9406 4.7364
Be -0.4802 -2.0049 -0.0628
```

***

(3)
LiBePt2: optimized geometry, GGA-PBE. Values from VASP.

Values from the calculation:
The total energy comes out at -20.0 eV per formula unit.

```
&SYSTEM
  ibrav = 0, nat = 4, ntyp = 3
/
ATOMIC_SPECIES
Li 6.94 Li.upf
Pt 195.08 Pt.upf
Be 9.01 Be.upf
CELL_PARAMETERS angstrom
4.7062 0.0007 -0.0085
3.8920 2.6458 -0.0085
1.0956 0.3372 4.0500
ATOMIC_POSITIONS angstrom
Li 2.3895 0.7355 0.7317
Pt 0.1016 0.0313 0.3027
Be 4.8122 1.4811 2.3137
Pt 7.2375 2.2276 2.7016
```

***

(4)
Li4BePt: optimized geometry, GGA-PBE. Values from VASP.

Values from the calculation:
The total energy comes out at -17.5 eV per formula unit.

```
&SYSTEM
  ibrav = 0, nat = 6, ntyp = 3
/
ATOMIC_SPECIES
Pt 195.08 Pt.upf
Li 6.94 Li.upf
Be 9.01 Be.upf
CELL_PARAMETERS angstrom
-4.7075 -0.0526 0.0263
-2.4047 3.6055 -1.8390
-2.3703 -0.5620 -4.0286
ATOMIC_POSITIONS angstrom
Pt -7.1119 2.2431 -4.3810
Li -4.7411 0.8466 -4.1928
Be 0.0000 0.0000 0.0000
Li -5.8988 1.0990 -2.1843
Li -3.5670 1.1250 -2.1973
Li -4.7581 2.9110 -3.1082
```

***

(5)
LiBePt3: optimized geometry, GGA-PBE. Values from VASP.

Values from the calculation:
For the distance to the lowest polymorph of the same formula, the calculation gives 0.0000 eV per atom. The total energy comes out at -24.8 eV per formula unit.

```
&SYSTEM
  ibrav = 0, nat = 5, ntyp = 3
/
ATOMIC_SPECIES
Pt 195.08 Pt.upf
Be 9.01 Be.upf
Li 6.94 Li.upf
CELL_PARAMETERS angstrom
-1.5810 0.7183 -3.8586
-3.9036 -0.7202 1.4654
-0.4080 4.1073 0.9318
ATOMIC_POSITIONS angstrom
Pt -0.2040 2.0536 0.4659
Pt -0.7905 0.3592 -1.9293
Pt -1.9518 -0.3601 0.7327
Be 0.0000 0.0000 0.0000
Li -2.9463 2.0527 -0.7307
```

***

(6)
Li4BePt2: optimized geometry, GGA-PBE. Values from VASP.

Values from the calculation:
The total energy comes out at -26.6 eV per formula unit.

```
&SYSTEM
  ibrav = 0, nat = 7, ntyp = 3
/
ATOMIC_SPECIES
Li 6.94 Li.upf
Pt 195.08 Pt.upf
Be 9.01 Be.upf
CELL_PARAMETERS angstrom
-2.4008 -2.4408 0.6395
3.8548 -3.8121 -0.0781
1.2043 0.1995 5.2827
ATOMIC_POSITIONS angstrom
Li 0.8538 -2.3072 3.8835
Li 1.9274 -1.9060 -0.0390
Pt -0.2905 -1.8701 1.2558
Li 1.8045 -3.7462 1.9606
Be 0.0000 0.0000 0.0000
Li 0.6022 0.0998 2.6414
Pt 2.9488 -4.1832 4.5883
```

***

(7)
LiBePt2: optimized geometry, GGA-PBE. Values from VASP.

Values from the calculation:
The total energy comes out at -18.9 eV per formula unit.

```
&SYSTEM
  ibrav = 0, nat = 4, ntyp = 3
/
ATOMIC_SPECIES
Be 9.01 Be.upf
Pt 195.08 Pt.upf
Li 6.94 Li.upf
CELL_PARAMETERS angstrom
4.2515 0.0000 0.0000
2.1258 3.6819 0.0000
2.1258 1.2273 3.4713
ATOMIC_POSITIONS angstrom
Be 4.2515 2.4546 1.7357
Pt 0.0000 0.0000 0.0000
Pt 6.3773 3.6819 2.6035
Li 2.1258 1.2273 0.8678
```

***

(8)
LiBe2Pt2: optimized geometry, GGA-PBE. Values from VASP.

Values from the calculation:
For the distance to the lowest polymorph of the same formula, the calculation gives 0.0000 eV per atom. The total energy comes out at -25.2 eV per formula unit.

```
&SYSTEM
  ibrav = 0, nat = 10, ntyp = 3
/
ATOMIC_SPECIES
Li 6.94 Li.upf
Be 9.01 Be.upf
Pt 195.08 Pt.upf
CELL_PARAMETERS angstrom
-4.0289 2.3543 -4.6757
-0.1741 -5.9571 -2.8496
-2.1828 -0.6737 1.5417
ATOMIC_POSITIONS angstrom
Li -2.1015 -1.8014 -3.7626
Be -1.6563 -4.3237 -4.2345
Li 0.0000 0.0000 0.0000
Pt -1.8816 -3.9181 -1.9129
Pt -2.4610 -0.5501 -1.2615
Pt -3.9248 -3.7263 -4.7221
Be -2.5467 0.7210 -3.2907
Be -3.6278 -1.6766 -5.8692
Pt -4.5042 -0.3583 -4.0707
Be -0.5752 -1.9261 -1.6560
```

***

(9)
LiBePt: optimized geometry, GGA-PBE. Values from VASP.

Values from the calculation:
For the distance to the lowest polymorph of the same formula, the calculation gives 0.0545 eV per atom. The total energy comes out at -13.4 eV per formula unit.

```
&SYSTEM
  ibrav = 0, nat = 6, ntyp = 3
/
ATOMIC_SPECIES
Pt 195.08 Pt.upf
Be 9.01 Be.upf
Li 6.94 Li.upf
CELL_PARAMETERS angstrom
4.0860 0.0000 0.0000
-2.0430 3.5386 0.0000
0.0000 0.0000 4.8293
ATOMIC_POSITIONS angstrom
Pt 0.0000 2.3591 1.4543
Be 0.0000 2.3591 3.8911
Li 0.0000 0.0000 2.4147
Be 2.0430 1.1795 0.9382
Pt 2.0430 1.1795 3.3750
Li 0.0000 0.0000 0.0000
```

***

(10)
LiBePt: optimized geometry, GGA-PBE. Values from VASP.

Values from the calculation:
For the distance to the lowest polymorph of the same formula, the calculation gives 0.1103 eV per atom. The total energy comes out at -13.2 eV per formula unit.

```
&SYSTEM
  ibrav = 0, nat = 3, ntyp = 3
/
ATOMIC_SPECIES
Li 6.94 Li.upf
Pt 195.08 Pt.upf
Be 9.01 Be.upf
CELL_PARAMETERS angstrom
4.9740 -0.0141 0.0154
4.1375 2.7608 0.0188
0.8366 0.2486 2.7637
ATOMIC_POSITIONS angstrom
Li 6.3547 1.9145 0.9435
Pt 3.8176 1.1486 1.7804
Be 8.8872 2.6790 0.1082
```

***

(11)
LiBe2Pt2: optimized geometry, GGA-PBE. Values from VASP.

Values from the calculation:
For the distance to the lowest polymorph of the same formula, the calculation gives 0.2314 eV per atom. The total energy comes out at -24.0 eV per formula unit.

```
&SYSTEM
  ibrav = 0, nat = 5, ntyp = 3
/
ATOMIC_SPECIES
Pt 195.08 Pt.upf
Be 9.01 Be.upf
Li 6.94 Li.upf
CELL_PARAMETERS angstrom
-0.0320 -3.2814 -0.9071
0.3846 -0.9048 3.2596
-5.5262 -2.2143 1.8154
ATOMIC_POSITIONS angstrom
Pt -3.9967 -4.2786 2.8400
Be -2.6909 -3.7944 1.0423
Be -2.4827 -2.6061 3.1256
Li 0.0000 0.0000 0.0000
Pt -1.1768 -2.1219 1.3279
```

***

(12)
LiBePt: optimized geometry, GGA-PBE. Values from VASP.

Values from the calculation:
For the distance to the lowest polymorph of the same formula, the calculation gives 0.0521 eV per atom. The total energy comes out at -13.4 eV per formula unit.

```
&SYSTEM
  ibrav = 0, nat = 6, ntyp = 3
/
ATOMIC_SPECIES
Pt 195.08 Pt.upf
Be 9.01 Be.upf
Li 6.94 Li.upf
CELL_PARAMETERS angstrom
4.1481 0.0000 -0.0161
0.0000 2.7861 0.0000
-2.0671 0.0000 6.2198
ATOMIC_POSITIONS angstrom
Pt 1.2647 0.0000 2.8494
Be 1.2548 1.3931 0.8797
Pt 3.3276 0.0000 0.3182
Be 1.2646 1.3931 4.6924
Li -0.8115 1.3931 2.5215
Li -0.8108 0.0000 4.8288
```

***

(13)
LiBePt3: optimized geometry, GGA-PBE. Values from VASP.

Values from the calculation:
For the distance to the lowest polymorph of the same formula, the calculation gives 0.7174 eV per atom. The total energy comes out at -21.2 eV per formula unit.

```
&SYSTEM
  ibrav = 0, nat = 5, ntyp = 3
/
ATOMIC_SPECIES
Li 6.94 Li.upf
Pt 195.08 Pt.upf
Be 9.01 Be.upf
CELL_PARAMETERS angstrom
4.1743 0.0000 0.0000
0.0000 4.1743 0.0000
0.0000 0.0000 4.1743
ATOMIC_POSITIONS angstrom
Li 0.0000 0.0000 0.0000
Pt 0.0000 2.0872 0.0000
Pt 0.0000 0.0000 2.0872
Pt 2.0872 0.0000 0.0000
Be 2.0872 2.0872 2.0872
```

***

(14)
LiBePt: optimized geometry, GGA-PBE. Values from VASP.

Values from the calculation:
For the distance to the lowest polymorph of the same formula, the calculation gives 0.4413 eV per atom. The total energy comes out at -12.3 eV per formula unit.

```
&SYSTEM
  ibrav = 0, nat = 3, ntyp = 3
/
ATOMIC_SPECIES
Li 6.94 Li.upf
Be 9.01 Be.upf
Pt 195.08 Pt.upf
CELL_PARAMETERS angstrom
3.9218 0.0000 0.0000
1.9609 3.3964 0.0000
1.9609 1.1321 3.2022
ATOMIC_POSITIONS angstrom
Li 3.9218 2.2643 1.6011
Be 0.0000 0.0000 0.0000
Pt 5.8827 3.3964 2.4016
```

***

(15)
LiBe2Pt4: optimized geometry, GGA-PBE. Values from VASP.

Values from the calculation:
The total energy comes out at -37.4 eV per formula unit.

```
&SYSTEM
  ibrav = 0, nat = 7, ntyp = 3
/
ATOMIC_SPECIES
Pt 195.08 Pt.upf
Li 6.94 Li.upf
Be 9.01 Be.upf
CELL_PARAMETERS angstrom
4.6168 0.0022 -1.6234
-2.3006 3.9930 -1.6472
0.0012 -0.0022 4.8939
ATOMIC_POSITIONS angstrom
Pt 0.0006 -0.0011 2.4469
Li 0.0000 0.0000 0.0000
Pt -1.1503 1.9965 -0.8236
Be 1.1581 1.9976 -1.6353
Pt 1.1587 1.9965 0.8117
Pt 2.3084 0.0011 -0.8117
Be 2.3090 0.0000 1.6353
```

***

(16)
LiBePt: optimized geometry, GGA-PBE. Values from VASP.

Values from the calculation:
For the distance to the lowest polymorph of the same formula, the calculation gives 0.0918 eV per atom. The total energy comes out at -13.3 eV per formula unit.

```
&SYSTEM
  ibrav = 0, nat = 6, ntyp = 3
/
ATOMIC_SPECIES
Li 6.94 Li.upf
Pt 195.08 Pt.upf
Be 9.01 Be.upf
CELL_PARAMETERS angstrom
-1.5075 1.6179 -1.8776
-1.6577 -2.2919 -0.6441
-4.7211 2.8624 8.4980
ATOMIC_POSITIONS angstrom
Li -5.3770 2.1542 6.1733
Pt -5.8589 1.3762 3.6487
Li -2.5092 0.0343 -0.1970
Be -4.3278 0.7628 1.8909
Be -3.5584 1.4256 4.0854
Pt -2.0273 0.8122 2.3276
```

***

(17)
Li2BePt2: optimized geometry, GGA-PBE. Values from VASP.

Values from the calculation:
For the distance to the lowest polymorph of the same formula, the calculation gives 0.0000 eV per atom. The total energy comes out at -22.5 eV per formula unit.

```
&SYSTEM
  ibrav = 0, nat = 10, ntyp = 3
/
ATOMIC_SPECIES
Pt 195.08 Pt.upf
Be 9.01 Be.upf
Li 6.94 Li.upf
CELL_PARAMETERS angstrom
5.8921 0.0000 0.0000
0.0000 5.8921 0.0000
0.0000 0.0000 4.1374
ATOMIC_POSITIONS angstrom
Pt 0.9160 2.0301 0.0000
Be 0.0000 0.0000 0.0000
Li 0.9457 3.8918 2.0687
Pt 4.9761 3.8621 0.0000
Li 4.9464 2.0004 2.0687
Li 2.0004 0.9457 2.0687
Pt 2.0301 4.9761 0.0000
Be 2.9461 2.9461 0.0000
Pt 3.8621 0.9160 0.0000
Li 3.8918 4.9464 2.0687
```

***

(18)
LiBePt2: optimized geometry, GGA-PBE. Values from VASP.

Values from the calculation:
The total energy comes out at -20.5 eV per formula unit.

```
&SYSTEM
  ibrav = 0, nat = 4, ntyp = 3
/
ATOMIC_SPECIES
Li 6.94 Li.upf
Be 9.01 Be.upf
Pt 195.08 Pt.upf
CELL_PARAMETERS angstrom
4.0780 0.0000 0.0000
0.0000 4.0787 0.0000
0.0000 0.0000 2.8727
ATOMIC_POSITIONS angstrom
Li 0.0000 2.0393 1.4364
Be 2.0390 0.0000 1.4364
Pt 2.0390 2.0393 0.0000
Pt 0.0000 0.0000 0.0000
```

***

(19)
LiBePt: optimized geometry, GGA-PBE. Values from VASP.

Values from the calculation:
For the distance to the lowest polymorph of the same formula, the calculation gives 0.2424 eV per atom. The total energy comes out at -12.8 eV per formula unit.

```
&SYSTEM
  ibrav = 0, nat = 3, ntyp = 3
/
ATOMIC_SPECIES
Li 6.94 Li.upf
Pt 195.08 Pt.upf
Be 9.01 Be.upf
CELL_PARAMETERS angstrom
3.7886 -0.0262 -0.0387
-1.8737 3.2930 0.0387
-1.8761 -1.0949 3.1091
ATOMIC_POSITIONS angstrom
Li 1.9116 1.0741 1.2770
Pt 0.0370 2.1729 2.8515
Be 0.0165 -0.0096 2.0638
```

***

(20)
LiBe5Pt6: optimized geometry, GGA-PBE. Values from VASP.

Values from the calculation:
The total energy comes out at -66.0 eV per formula unit.

```
&SYSTEM
  ibrav = 0, nat = 12, ntyp = 3
/
ATOMIC_SPECIES
Be 9.01 Be.upf
Pt 195.08 Pt.upf
Li 6.94 Li.upf
CELL_PARAMETERS angstrom
-3.4517 1.0200 1.8016
-2.8386 -3.6036 -3.3976
3.9451 -3.1591 4.8504
ATOMIC_POSITIONS angstrom
Be -1.4653 -0.9398 2.2208
Pt -3.8388 -2.1722 -1.6280
Be 0.5337 -2.9695 2.7037
Pt -1.8507 -4.1984 -1.1681
Pt -2.4514 -0.4114 0.0321
Pt -0.4945 -1.5443 4.4225
Be -0.8799 -4.8029 1.0336
Pt -0.4467 -2.4163 0.5121
Be -2.8789 -2.7732 0.5508
Pt -1.8984 -3.3263 2.7424
Be -1.4193 -1.8018 -1.6988
Li 0.0000 0.0000 0.0000
```

***

(21)
Li3BePt: optimized geometry, GGA-PBE. Values from VASP.

Values from the calculation:
For the distance to the lowest polymorph of the same formula, the calculation gives 0.0000 eV per atom. The total energy comes out at -13.6 eV per formula unit.

```
&SYSTEM
  ibrav = 0, nat = 5, ntyp = 3
/
ATOMIC_SPECIES
Li 6.94 Li.upf
Pt 195.08 Pt.upf
Be 9.01 Be.upf
CELL_PARAMETERS angstrom
-0.2441 -3.6318 -2.9215
-1.3582 -2.7431 3.5235
-4.4587 1.0345 -0.9134
ATOMIC_POSITIONS angstrom
Li -0.1221 -1.8159 -1.4607
Pt 0.0000 0.0000 0.0000
Li -2.2294 0.5172 -0.4567
Li -0.6791 -1.3715 1.7618
Be -3.0305 -2.6702 -0.1557
```

***

(22)
LiBePt2: optimized geometry, GGA-PBE. Values from VASP.

Values from the calculation:
The total energy comes out at -20.0 eV per formula unit.

```
&SYSTEM
  ibrav = 0, nat = 4, ntyp = 3
/
ATOMIC_SPECIES
Pt 195.08 Pt.upf
Li 6.94 Li.upf
Be 9.01 Be.upf
CELL_PARAMETERS angstrom
-3.6671 4.4099 -5.5552
-4.5044 1.8449 -6.3294
-5.8912 3.2263 -4.3174
ATOMIC_POSITIONS angstrom
Pt -7.1726 4.8358 -8.2637
Li -10.5471 7.1109 -12.1515
Be -3.5157 2.3703 -4.0505
Pt -13.9216 9.3860 -16.0394
```

***

(23)
LiBePt: optimized geometry, GGA-PBE. Values from VASP.

Values from the calculation:
For the distance to the lowest polymorph of the same formula, the calculation gives 0.0039 eV per atom. The total energy comes out at -13.6 eV per formula unit.

```
&SYSTEM
  ibrav = 0, nat = 6, ntyp = 3
/
ATOMIC_SPECIES
Pt 195.08 Pt.upf
Li 6.94 Li.upf
Be 9.01 Be.upf
CELL_PARAMETERS angstrom
-0.0507 1.2982 -2.4293
1.0386 -3.0956 -1.6759
-6.8561 -2.5505 0.4621
ATOMIC_POSITIONS angstrom
Pt -1.3727 -1.9408 -3.2939
Li -5.5273 -3.7317 -2.5606
Be -3.2924 -3.1129 -2.3187
Pt -4.4955 -2.4071 -0.3492
Li -0.3410 -0.6162 -1.0825
Be -2.5758 -1.2350 -1.3244
```

***

(24)
LiBePt2: optimized geometry, GGA-PBE. Values from VASP.

Values from the calculation:
The total energy comes out at -19.9 eV per formula unit.

```
&SYSTEM
  ibrav = 0, nat = 4, ntyp = 3
/
ATOMIC_SPECIES
Li 6.94 Li.upf
Be 9.01 Be.upf
Pt 195.08 Pt.upf
CELL_PARAMETERS angstrom
4.6971 -0.0649 0.1465
3.7628 2.8123 0.1465
2.0929 0.6797 3.9824
ATOMIC_POSITIONS angstrom
Li 2.6382 0.8568 1.0688
Be 7.9146 2.5703 3.2065
Pt 2.2693 0.7370 3.8811
Pt 5.0999 1.6562 2.2390
```

***

(25)
LiBePt: optimized geometry, GGA-PBE. Values from VASP.

Values from the calculation:
For the distance to the lowest polymorph of the same formula, the calculation gives 0.0889 eV per atom. The total energy comes out at -13.3 eV per formula unit.

```
&SYSTEM
  ibrav = 0, nat = 6, ntyp = 3
/
ATOMIC_SPECIES
Be 9.01 Be.upf
Li 6.94 Li.upf
Pt 195.08 Pt.upf
CELL_PARAMETERS angstrom
2.8012 0.0000 -0.0087
0.0000 4.0155 0.0000
-1.3935 0.0000 6.1470
ATOMIC_POSITIONS angstrom
Be -1.0166 2.0077 5.1003
Li 1.7773 0.0000 3.5208
Pt 0.3765 2.0077 3.0145
Li 0.3806 0.0000 1.4892
Be 1.7772 2.0077 0.9778
Pt 0.3826 0.0000 5.5976
```

***

DOS(E_F) in states/eV/f.u., matching the order above: 1.28, 3.17, 0.71, 1.97, 6.40, 1.40, 3.17, 1.05, 1.37, 1.23, 1.71, 0.87, 4.73, 0.66, 2.05, 1.00, 0.83, 0.44, 0.52, 2.20, 2.27, 2.06, 0.99, 0.88, 0.59
Formation enthalpy at 0 K in eV/atom, matching the order above: -0.449, -0.590, -0.561, -0.008, -0.213, -0.444, -0.291, -0.747, -0.577, -0.521, -0.515, -0.580, 0.504, -0.190, -0.551, -0.540, -0.577, -0.695, -0.389, -0.768, 0.389, -0.581, -0.628, -0.545, -0.543